Entry 1:
Y3Er2Th | PBE-GGA | relaxed

Results
**Volume**: 31.96 A^3/atom
**Calculated formation energy**: 9.1 kJ/mol of atoms
**DOS(E_F)**: 17.45 states/eV/cell

Unit cell a=8.921 b=6.656 c=6.656 alpha=95.80 beta=81.50 gamma=81.50
Atoms (fractional coordinates):
Y 0.485 0.687 0.853
Y 0.985 0.853 0.687
Y 0.250 0.436 0.564
Y 0.015 0.147 0.313
Y 0.515 0.313 0.147
Y 0.750 0.564 0.436
Th 0.250 0.114 0.886
Th 0.750 0.886 0.114
Er 0.880 0.377 0.875
Er 0.620 0.125 0.623
Er 0.120 0.623 0.125
Er 0.380 0.875 0.377

---

Entry 2:
Y6Er4Th | PBE-GGA | relaxed

Results
**Volume**: 33.35 A^3/atom
**Calculated formation energy**: 31.0 kJ/mol of atoms
**DOS(E_F)**: 19.41 states/eV/cell

Unit cell a=6.557 b=6.557 c=9.713 alpha=109.73 beta=109.73 gamma=90.00
Atoms (fractional coordinates):
Y 0.500 0.000 0.000
Y 0.487 0.865 0.351
Y 0.135 0.135 0.649
Y 0.865 0.487 0.351
Y 0.513 0.513 0.649
Y 0.000 0.500 0.000
Er 0.056 0.685 0.742
Er 0.685 0.056 0.742
Er 0.944 0.944 0.258
Er 0.315 0.315 0.258
Th 0.500 0.500 0.000

---

Entry 3:
Y5Er2Th | PBE-GGA | relaxed

Results
**Volume**: 31.94 A^3/atom
**Calculated formation energy**: 2.9 kJ/mol of atoms
**DOS(E_F)**: 25.19 states/eV/cell

Unit cell a=5.022 b=7.124 c=14.283 alpha=90.00 beta=90.00 gamma=90.00
Atoms (fractional coordinates):
Y 0.500 0.254 0.877
Y 0.500 0.746 0.123
Y 0.000 0.500 0.500
Y 0.000 0.501 0.248
Y 0.000 0.499 0.752
Y 0.000 0.001 0.252
Y 0.500 0.754 0.623
Y 0.000 0.000 0.000
Y 0.000 0.999 0.748
Y 0.500 0.246 0.377
Er 0.500 0.256 0.123
Er 0.500 0.244 0.623
Er 0.500 0.756 0.377
Er 0.500 0.744 0.877
Th 0.000 0.500 0.000
Th 0.000 0.000 0.500

---

Computed total magnetization (Bohr magnetons per cell) in order:
0.000 0.000 0.000